PuInNiO6 GGA+U optimized geometry; crystal system = trigonal; magnetization = 5.999 μB per cell; SG = No. 163; V = 12.6 Å³/atom; DFT total energy = -7.257 eV/atom
1.0
5.248 0.000 0.000
-2.624 4.545 0.000
0.000 0.000 9.496
Pu In Ni O
2 2 2 12
Direct
0.333 0.667 0.250
0.667 0.333 0.750
0.000 0.000 0.000
0.000 0.000 0.500
0.333 0.667 0.750
0.667 0.333 0.250
0.008 0.349 0.133
0.008 0.660 0.367
0.340 0.349 0.367
0.340 0.992 0.133
0.349 0.008 0.633
0.349 0.340 0.867
0.651 0.660 0.133
0.651 0.992 0.367
0.660 0.008 0.867
0.660 0.651 0.633
0.992 0.340 0.633
0.992 0.651 0.867